Record 1
# Tb8YTl6 (PBE, optimized geometry)
# Total magnetic moment: 0.0 μB per formula unit
# Formation enthalpy at 0 K: -145 meV/atom
# SG: R-3
data_Tb8YTl6
_chemical_formula_sum 'Tb8 Y1 Tl6'
_cell_length_a 8.384
_cell_length_b 8.384
_cell_length_c 8.384
_cell_angle_alpha 66.06
_cell_angle_beta 66.06
_cell_angle_gamma 66.06
_space_group_name_H-M_alt 'P 1'
_space_group_IT_number 1
_space_group_name_Hall 'P 1'
loop_
_atom_site_label
_atom_site_fract_x
_atom_site_fract_y
_atom_site_fract_z
_atom_site_occupancy
Tb1 0.056 0.391 0.724 1
Tb2 0.166 0.166 0.166 1
Tb3 0.276 0.944 0.609 1
Tb4 0.391 0.724 0.056 1
Tb5 0.609 0.276 0.944 1
Tb6 0.724 0.056 0.391 1
Tb7 0.834 0.834 0.834 1
Tb8 0.944 0.609 0.276 1
Y1 0.500 0.500 0.500 1
Tl1 0.104 0.769 0.437 1
Tl2 0.231 0.563 0.896 1
Tl3 0.437 0.104 0.769 1
Tl4 0.563 0.896 0.231 1
Tl5 0.769 0.437 0.104 1
Tl6 0.896 0.231 0.563 1

Record 2
# TbYTl2 (PBE, optimized geometry)
# Total magnetic moment: 0.0 μB per formula unit
# Excess energy over the best structure of this formula in the dataset: 0.0 kJ per mole of atoms
# Formation enthalpy at 0 K: -369 meV/atom
# SG: P4/mmm
data_TbYTl2
_chemical_formula_sum 'Tb1 Y1 Tl2'
_cell_length_a 3.801
_cell_length_b 3.801
_cell_length_c 7.600
_cell_angle_alpha 90.00
_cell_angle_beta 90.00
_cell_angle_gamma 90.00
_space_group_name_H-M_alt 'P 1'
_space_group_IT_number 1
_space_group_name_Hall 'P 1'
loop_
_atom_site_label
_atom_site_fract_x
_atom_site_fract_y
_atom_site_fract_z
_atom_site_occupancy
Tb1 0.000 0.000 0.000 1
Y1 0.000 0.000 0.500 1
Tl1 0.500 0.500 0.251 1
Tl2 0.500 0.500 0.749 1

Record 3
# Tb8Y6Tl (PBE, optimized geometry)
# Total magnetic moment: 0.0 μB per formula unit
# Formation enthalpy at 0 K: 88 meV/atom
# SG: P-3
data_Tb8Y6Tl
_chemical_formula_sum 'Tb8 Y6 Tl1'
_cell_length_a 9.371
_cell_length_b 9.371
_cell_length_c 6.378
_cell_angle_alpha 90.00
_cell_angle_beta 90.00
_cell_angle_gamma 120.00
_space_group_name_H-M_alt 'P 1'
_space_group_IT_number 1
_space_group_name_Hall 'P 1'
loop_
_atom_site_label
_atom_site_fract_x
_atom_site_fract_y
_atom_site_fract_z
_atom_site_occupancy
Tb1 0.042 0.774 0.185 1
Tb2 0.226 0.267 0.185 1
Tb3 0.267 0.042 0.815 1
Tb4 0.333 0.667 0.185 1
Tb5 0.667 0.333 0.815 1
Tb6 0.733 0.958 0.185 1
Tb7 0.774 0.733 0.815 1
Tb8 0.958 0.226 0.815 1
Y1 0.094 0.642 0.680 1
Y2 0.358 0.452 0.680 1
Y3 0.452 0.094 0.320 1
Y4 0.548 0.906 0.680 1
Y5 0.642 0.548 0.320 1
Y6 0.906 0.358 0.320 1
Tl1 0.000 0.000 0.500 1

Record 4
# Tb5Y12Tl2 (PBE, optimized geometry)
# Total magnetic moment: 0.0 μB per formula unit
# Formation enthalpy at 0 K: 13 meV/atom
# SG: C2/m
data_Tb5Y12Tl2
_chemical_formula_sum 'Tb5 Y12 Tl2'
_cell_length_a 9.027
_cell_length_b 9.027
_cell_length_c 8.307
_cell_angle_alpha 91.42
_cell_angle_beta 91.42
_cell_angle_gamma 63.39
_space_group_name_H-M_alt 'P 1'
_space_group_IT_number 1
_space_group_name_Hall 'P 1'
loop_
_atom_site_label
_atom_site_fract_x
_atom_site_fract_y
_atom_site_fract_z
_atom_site_occupancy
Tb1 0.000 0.000 0.000 1
Tb2 0.235 0.235 0.081 1
Tb3 0.313 0.313 0.496 1
Tb4 0.687 0.687 0.504 1
Tb5 0.765 0.765 0.919 1
Y1 0.034 0.666 0.268 1
Y2 0.084 0.084 0.381 1
Y3 0.178 0.571 0.843 1
Y4 0.334 0.966 0.732 1
Y5 0.429 0.822 0.157 1
Y6 0.448 0.448 0.183 1
Y7 0.552 0.552 0.817 1
Y8 0.571 0.178 0.843 1
Y9 0.666 0.034 0.268 1
Y10 0.822 0.429 0.157 1
Y11 0.916 0.916 0.619 1
Y12 0.966 0.334 0.732 1
Tl1 0.311 0.689 0.500 1
Tl2 0.689 0.311 0.500 1

Record 5
# TbY6Tl (PBE, optimized geometry)
# Total magnetic moment: 0.0 μB per formula unit
# Excess energy over the best structure of this formula in the dataset: 0.0 kJ per mole of atoms
# Formation enthalpy at 0 K: -76 meV/atom
# SG: P4/mmm
data_TbY6Tl
_chemical_formula_sum 'Tb1 Y6 Tl1'
_cell_length_a 4.921
_cell_length_b 4.921
_cell_length_c 10.134
_cell_angle_alpha 90.00
_cell_angle_beta 90.00
_cell_angle_gamma 90.00
_space_group_name_H-M_alt 'P 1'
_space_group_IT_number 1
_space_group_name_Hall 'P 1'
loop_
_atom_site_label
_atom_site_fract_x
_atom_site_fract_y
_atom_site_fract_z
_atom_site_occupancy
Tb1 0.000 0.000 0.000 1
Y1 0.000 0.500 0.255 1
Y2 0.000 0.500 0.745 1
Y3 0.500 0.000 0.255 1
Y4 0.500 0.000 0.745 1
Y5 0.500 0.500 0.000 1
Y6 0.500 0.500 0.500 1
Tl1 0.000 0.000 0.500 1

Record 6
# Tb5YTl6 (PBE, optimized geometry)
# Total magnetic moment: 0.0 μB per formula unit
# Formation enthalpy at 0 K: -356 meV/atom
# SG: C2/m
data_Tb5YTl6
_chemical_formula_sum 'Tb5 Y1 Tl6'
_cell_length_a 9.334
_cell_length_b 9.334
_cell_length_c 5.388
_cell_angle_alpha 106.67
_cell_angle_beta 106.67
_cell_angle_gamma 120.31
_space_group_name_H-M_alt 'P 1'
_space_group_IT_number 1
_space_group_name_Hall 'P 1'
loop_
_atom_site_label
_atom_site_fract_x
_atom_site_fract_y
_atom_site_fract_z
_atom_site_occupancy
Tb1 0.000 0.000 0.000 1
Tb2 0.166 0.834 0.500 1
Tb3 0.333 0.667 0.000 1
Tb4 0.667 0.333 0.000 1
Tb5 0.834 0.166 0.500 1
Y1 0.500 0.500 0.500 1
Tl1 0.084 0.417 0.251 1
Tl2 0.251 0.251 0.751 1
Tl3 0.417 0.084 0.251 1
Tl4 0.583 0.916 0.749 1
Tl5 0.749 0.749 0.249 1
Tl6 0.916 0.583 0.749 1

Record 7
# TbYTl2 (PBE, optimized geometry)
# Total magnetic moment: 0.0 μB per formula unit
# Excess energy over the best structure of this formula in the dataset: 8.6 kJ per mole of atoms
# Formation enthalpy at 0 K: -279 meV/atom
# SG: R-3m
data_TbYTl2
_chemical_formula_sum 'Tb1 Y1 Tl2'
_cell_length_a 9.856
_cell_length_b 9.856
_cell_length_c 9.856
_cell_angle_alpha 22.05
_cell_angle_beta 22.05
_cell_angle_gamma 22.05
_space_group_name_H-M_alt 'P 1'
_space_group_IT_number 1
_space_group_name_Hall 'P 1'
loop_
_atom_site_label
_atom_site_fract_x
_atom_site_fract_y
_atom_site_fract_z
_atom_site_occupancy
Tb1 0.000 0.000 0.000 1
Y1 0.500 0.500 0.500 1
Tl1 0.250 0.250 0.250 1
Tl2 0.750 0.750 0.750 1

Record 8
# TbY5Tl4 (PBE, optimized geometry)
# Total magnetic moment: 0.1 μB per formula unit
# Formation enthalpy at 0 K: -301 meV/atom
# SG: P4/mmm
data_TbY5Tl4
_chemical_formula_sum 'Tb1 Y5 Tl4'
_cell_length_a 3.638
_cell_length_b 3.638
_cell_length_c 21.594
_cell_angle_alpha 90.00
_cell_angle_beta 90.00
_cell_angle_gamma 90.00
_space_group_name_H-M_alt 'P 1'
_space_group_IT_number 1
_space_group_name_Hall 'P 1'
loop_
_atom_site_label
_atom_site_fract_x
_atom_site_fract_y
_atom_site_fract_z
_atom_site_occupancy
Tb1 0.000 0.000 0.000 1
Y1 0.500 0.500 0.115 1
Y2 0.500 0.500 0.306 1
Y3 0.500 0.500 0.500 1
Y4 0.500 0.500 0.694 1
Y5 0.500 0.500 0.885 1
Tl1 0.000 0.000 0.210 1
Tl2 0.000 0.000 0.403 1
Tl3 0.000 0.000 0.597 1
Tl4 0.000 0.000 0.790 1

Number 1: VASP energy -59.884 eV per cell. Number 2: VASP energy -17.303 eV per cell. Number 3: VASP energy -76.878 eV per cell. Number 4: VASP energy -105.202 eV per cell. Number 5: VASP energy -46.388 eV per cell. Number 6: VASP energy -48.087 eV per cell. Number 7: VASP energy -16.944 eV per cell. Number 8: VASP energy -49.427 eV per cell.